VPHRuS: relaxed, PBE-GGA.

Computed properties:
As for the calculated total energy: -32.85 eV for the cell shown. As for the polymorph energy (0 for the lowest one): 16.7 kJ per mole of atoms. The calculation puts the spin magnetization at 0.00 μB/f.u. The calculation puts the theoretical density at 5.774 g/cm³.

a = 3.010 Å, b = 4.336 Å, c = 5.079 Å
α = 88.90°, β = 90.00°, γ = 69.68°
Fractional positions:
1 V 0.100 0.667 0.009
2 P 0.959 0.949 0.419
3 H 0.234 0.400 0.318
4 Ru 0.669 0.531 0.511
5 S 0.803 0.262 0.919